VASP calculation (PBE) on Mg2SiPt after structural relaxation.

a b c (Å): 4.4773 4.4773 3.3012
angles (deg): 90.00 90.00 90.00
Last column: nearest neighbours and their distance in Å.
Positions (direct):
Mg 0.5000 0.5000 0.0000  4 Pt 2.78, 4 Si 2.78
Mg 0.0000 0.0000 0.0000  4 Pt 2.78, 4 Si 2.78
Pt 0.5000 0.0000 0.5000  8 Mg 2.78
Si 0.0000 0.5000 0.5000  8 Mg 2.78

Computed properties:
Uncorrected formation energy (eV per atom): -0.3900
Total magnetic moment (Bohr magnetons per cell): 0.0
V (A^3/atom): 16.5